# Na2LiInBr5

A geometry-optimized Na2LiInBr5 structure (PBE, Alexandria).

Computed properties:
N(E_F), states/eV/f.u.: 4.92
ρ, Mg/m³: 3.4

Structure (CIF):
```
data_Na2LiInBr5
_cell_length_a 4.254
_cell_length_b 16.909
_cell_length_c 15.222
_cell_angle_alpha 90.00
_cell_angle_beta 90.00
_cell_angle_gamma 90.00
_symmetry_space_group_name_H-M 'C m c 21'
_symmetry_Int_Tables_number 36
_symmetry_space_group_name_Hall 'C 2c -2'
loop_
_atom_site_label
_atom_site_type_symbol
_atom_site_fract_x
_atom_site_fract_y
_atom_site_fract_z
Na1 Na 0.000 0.076 0.000
Na2 Na 0.000 0.168 0.606
Li1 Li 0.000 0.246 0.378
In1 In 0.000 0.444 0.788
Br1 Br 0.000 0.087 0.411
Br2 Br 0.000 0.246 0.016
Br3 Br 0.000 0.276 0.761
Br4 Br 0.000 0.401 0.365
Br5 Br 0.000 0.487 0.115
```

=====

# NaLiIn2Br8

A geometry-optimized NaLiIn2Br8 structure (PBE, Alexandria).

Computed properties:
N(E_F), states/eV/f.u.: 0.00
ρ, Mg/m³: 3.4

Structure (CIF):
```
data_NaLiIn2Br8
_cell_length_a 10.008
_cell_length_b 10.008
_cell_length_c 8.712
_cell_angle_alpha 90.00
_cell_angle_beta 90.00
_cell_angle_gamma 90.00
_symmetry_space_group_name_H-M 'I -4 m 2'
_symmetry_Int_Tables_number 119
_symmetry_space_group_name_Hall 'I -4 -2'
loop_
_atom_site_label
_atom_site_type_symbol
_atom_site_fract_x
_atom_site_fract_y
_atom_site_fract_z
Na1 Na 0.000 0.000 0.000
Li1 Li 0.000 0.500 0.750
In1 In 0.000 0.000 0.500
In2 In 0.000 0.500 0.250
Br1 Br 0.000 0.196 0.687
Br2 Br 0.000 0.310 0.056
```

=====

# Li2NdInBr6

A geometry-optimized Li2NdInBr6 structure (PBE, Alexandria).

Computed properties:
N(E_F), states/eV/f.u.: 0.00
ρ, Mg/m³: 4.0

Structure (CIF):
```
data_Li2NdInBr6
_cell_length_a 7.3663
_cell_length_b 7.3663
_cell_length_c 19.9217
_cell_angle_alpha 90.00
_cell_angle_beta 90.00
_cell_angle_gamma 120.00
_symmetry_space_group_name_H-M 'R 3'
_symmetry_Int_Tables_number 146
_symmetry_space_group_name_Hall 'R 3'
loop_
_atom_site_label
_atom_site_type_symbol
_atom_site_fract_x
_atom_site_fract_y
_atom_site_fract_z
Li1 Li 0.0000 0.0000 0.0000
Li2 Li 0.0000 0.0000 0.4949
Nd1 Nd 0.0000 0.0000 0.6908
In1 In 0.0000 0.0000 0.2087
Br1 Br 0.9999 0.3551 0.7552
Br2 Br 0.0069 0.5871 0.2592
```

=====

# LiNpInBr6

A geometry-optimized LiNpInBr6 structure (PBE, Alexandria).

Computed properties:
N(E_F), states/eV/f.u.: 3.59
ρ, Mg/m³: 4.3

Structure (CIF):
```
data_LiNpInBr6
_cell_length_a 7.1753
_cell_length_b 7.1753
_cell_length_c 14.3712
_cell_angle_alpha 90.00
_cell_angle_beta 90.00
_cell_angle_gamma 120.00
_symmetry_space_group_name_H-M 'P -3 1 c'
_symmetry_Int_Tables_number 163
_symmetry_space_group_name_Hall '-P 3 2c'
loop_
_atom_site_label
_atom_site_type_symbol
_atom_site_fract_x
_atom_site_fract_y
_atom_site_fract_z
Li1 Li 0.3333 0.6667 0.2500
Np1 Np 0.3333 0.6667 0.7500
In1 In 0.0000 0.0000 0.0000
Br1 Br 0.9995 0.3637 0.1394
```

=====

# Li2PaInBr8

A geometry-optimized Li2PaInBr8 structure (PBE, Alexandria).

Computed properties:
ρ, Mg/m³: 3.8

Structure (CIF):
```
data_Li2PaInBr8
_cell_length_a 6.726
_cell_length_b 9.575
_cell_length_c 6.794
_cell_angle_alpha 90.00
_cell_angle_beta 98.59
_cell_angle_gamma 90.00
_symmetry_space_group_name_H-M 'P 1 2/m 1'
_symmetry_Int_Tables_number 10
_symmetry_space_group_name_Hall '-P 2y'
loop_
_atom_site_label
_atom_site_type_symbol
_atom_site_fract_x
_atom_site_fract_y
_atom_site_fract_z
Li1 Li 0.000 0.162 0.000
Pa1 Pa 0.500 0.500 0.500
In1 In 0.500 0.000 0.500
Br1 Br 0.195 0.000 0.821
Br2 Br 0.255 0.500 0.776
Br3 Br 0.273 0.292 0.297
```

=====

# LiPaInBr6

A geometry-optimized LiPaInBr6 structure (PBE, Alexandria).

Computed properties:
N(E_F), states/eV/f.u.: 0.70
ρ, Mg/m³: 4.2

Structure (CIF):
```
data_LiPaInBr6
_cell_length_a 7.2347
_cell_length_b 7.2347
_cell_length_c 14.5451
_cell_angle_alpha 90.00
_cell_angle_beta 90.00
_cell_angle_gamma 120.00
_symmetry_space_group_name_H-M 'P -3 1 c'
_symmetry_Int_Tables_number 163
_symmetry_space_group_name_Hall '-P 3 2c'
loop_
_atom_site_label
_atom_site_type_symbol
_atom_site_fract_x
_atom_site_fract_y
_atom_site_fract_z
Li1 Li 0.3333 0.6667 0.2500
Pa1 Pa 0.3333 0.6667 0.7500
In1 In 0.0000 0.0000 0.0000
Br1 Br 0.0019 0.3659 0.1395
```

=====

# LiInPbBr6

A geometry-optimized LiInPbBr6 structure (PBE, Alexandria).

Computed properties:
N(E_F), states/eV/f.u.: 0.00
ρ, Mg/m³: 4.8

Structure (CIF):
```
data_LiInPbBr6
_cell_length_a 7.0280
_cell_length_b 7.0280
_cell_length_c 13.1563
_cell_angle_alpha 90.00
_cell_angle_beta 90.00
_cell_angle_gamma 120.00
_symmetry_space_group_name_H-M 'P -3 1 c'
_symmetry_Int_Tables_number 163
_symmetry_space_group_name_Hall '-P 3 2c'
loop_
_atom_site_label
_atom_site_type_symbol
_atom_site_fract_x
_atom_site_fract_y
_atom_site_fract_z
Li1 Li 0.3333 0.6667 0.2500
In1 In 0.3333 0.6667 0.7500
Pb1 Pb 0.0000 0.0000 0.0000
Br1 Br 0.0023 0.3610 0.6324
```

=====

# LiInPbBr4

A geometry-optimized LiInPbBr4 structure (PBE, Alexandria).

Computed properties:
N(E_F), states/eV/f.u.: 0.00
ρ, Mg/m³: 4.6

Structure (CIF):
```
data_LiInPbBr4
_cell_length_a 7.245
_cell_length_b 7.574
_cell_length_c 8.880
_cell_angle_alpha 90.00
_cell_angle_beta 107.75
_cell_angle_gamma 90.00
_symmetry_space_group_name_H-M 'P 1 21/m 1'
_symmetry_Int_Tables_number 11
_symmetry_space_group_name_Hall '-P 2yb'
loop_
_atom_site_label
_atom_site_type_symbol
_atom_site_fract_x
_atom_site_fract_y
_atom_site_fract_z
Li1 Li 0.237 0.250 0.313
In1 In 0.250 0.750 0.061
Pb1 Pb 0.217 0.750 0.553
Br1 Br 0.001 0.001 0.727
Br2 Br 0.452 0.250 0.140
Br3 Br 0.458 0.250 0.593
```

=====

How do the records compare in raw total energy? In the order shown, they have -2.915, -2.822, -3.603, -4.259, -3.742, -4.001, -3.025, -3.142 eV/atom.